## PuMgTl2 (PBE)

Data for a relaxed PuMgTl2 crystal.

Cell: 5.0622 5.0622 4.1613 Å, 90.00 90.00 90.00°
Closest atoms and distances in Å follow each position.
Space group P4/mmm (No. 123)
Symmetry-distinct sites (fractional):
Pu: 0.0000 0.0000 0.0000 [1 per cell]  8 Tl 3.28, 4 Mg 3.58
Mg: 0.5000 0.5000 0.0000 [1 per cell]  8 Tl 3.28, 4 Pu 3.58
Tl: 0.0000 0.5000 0.5000 [2 per cell]  4 Mg 3.28, 4 Pu 3.28, 4 Tl 3.58

Output
Total magnetization   5.9 Bohr magnetons per cell
DOS(E_F)   2.6732 states/eV per atom
Formation energy   -0.04 eV per atom
Electronic total energy   -20.8 eV per cell